First-principles (GGA-PBE) data for a geometry-optimized PaRhW structure, as listed in the Alexandria database.

It has space group Amm2 (No. 38), with a = 14.514 Å, b = 2.926 Å, c = 5.142 Å, α = 90.00°, β = 90.00° and γ = 90.00°. The inequivalent atoms are Pa at (0.182, 0.000, 0.000), Rh at (0.354, 0.000, 0.459), W at (0.000, 0.000, 0.217) and W at (0.500, 0.000, 0.126).

As for the formation energy: 0.4 eV per formula unit.

First-principles (GGA-PBE) data for a geometry-optimized NaMg3F structure, as listed in the Alexandria database.

It has space group Pm-3m (No. 221), with a = 5.587 Å, b = 5.587 Å, c = 5.587 Å, α = 90.00°, β = 90.00° and γ = 90.00°. The inequivalent atoms are Na at (0.000, 0.000, 0.000), Mg at (0.000, 0.000, 0.500) and F at (0.500, 0.500, 0.500).

The uncorrected formation energy comes out at 0.2649 eV per atom. For the offset from the most stable computed form, the calculation gives 0.903 eV/atom.

First-principles (GGA-PBE) data for a geometry-optimized La5SmY8 structure, as listed in the Alexandria database.

It has space group I-4 (No. 82), with a = 9.722 Å, b = 9.722 Å, c = 10.294 Å, α = 90.00°, β = 90.00° and γ = 90.00°. The inequivalent atoms are La at (0.000, 0.000, 0.000), La at (0.109, 0.218, 0.422), Sm at (0.000, 0.500, 0.750), Y at (0.073, 0.325, 0.100) and Y at (0.082, 0.175, 0.756).

As for the formation energy: 3.2 eV per formula unit.

First-principles (GGA-PBE) data for a geometry-optimized KHoMg2Cl8 structure, as listed in the Alexandria database.

It has space group P-1 (No. 2), with a = 6.451 Å, b = 6.463 Å, c = 8.827 Å, α = 79.93°, β = 79.72° and γ = 79.48°. The inequivalent atoms are K at (0.000, 0.000, 0.000), Ho at (0.000, 0.000, 0.500), Mg at (0.452, 0.455, 0.213), Cl at (0.209, 0.763, 0.720), Cl at (0.248, 0.801, 0.278), Cl at (0.263, 0.277, 0.454) and Cl at (0.326, 0.337, 0.007).

The uncorrected formation energy comes out at -1.9717 eV per atom.

First-principles (GGA-PBE) data for a geometry-optimized U3Ge5Se12 structure, as listed in the Alexandria database.

It has space group Ia-3d (No. 230), with a = 16.207 Å, b = 16.207 Å, c = 16.207 Å, α = 90.00°, β = 90.00° and γ = 90.00°. The inequivalent atoms are U at (0.000, 0.250, 0.125), Ge at (0.000, 0.000, 0.000), Ge at (0.000, 0.250, 0.375) and Se at (0.020, 0.064, 0.654).

The uncorrected formation energy comes out at -0.5402 eV per atom.

First-principles (GGA-PBE) data for a geometry-optimized NaZrAgRh2 structure, as listed in the Alexandria database.

It has space group P4/mmm (No. 123), with a = 4.552 Å, b = 4.552 Å, c = 4.685 Å, α = 90.00°, β = 90.00° and γ = 90.00°. The inequivalent atoms are Na at (0.000, 0.000, 0.000), Zr at (0.000, 0.000, 0.500), Ag at (0.500, 0.500, 0.500) and Rh at (0.000, 0.500, 0.000).

As for the formation energy: 6.7 eV per formula unit.

First-principles (GGA-PBE) data for a geometry-optimized Li5CdO4 structure, as listed in the Alexandria database.

It has space group Immm (No. 71), with a = 3.269 Å, b = 5.588 Å, c = 11.259 Å, α = 90.00°, β = 90.00° and γ = 90.00°. The inequivalent atoms are Li at (0.000, 0.000, 0.000), Li at (0.000, 0.226, 0.324), Cd at (0.000, 0.500, 0.000), O at (0.000, 0.289, 0.500) and O at (0.000, 0.500, 0.207).

The uncorrected formation energy comes out at -1.4990 eV per atom.

First-principles (GGA-PBE) data for a geometry-optimized Co2AgCl structure, as listed in the Alexandria database.

It has space group P4mm (No. 99), with a = 2.972 Å, b = 2.972 Å, c = 7.053 Å, α = 90.00°, β = 90.00° and γ = 90.00°. The inequivalent atoms are Co at (0.000, 0.000, 0.000), Co at (0.500, 0.500, 0.172), Ag at (0.000, 0.000, 0.423) and Cl at (0.500, 0.500, 0.778).

The uncorrected formation energy comes out at 0.2820 eV per atom. For the offset from the most stable computed form, the calculation gives 0.080 eV/atom.

First-principles (GGA-PBE) data for a geometry-optimized MgTaIn structure, as listed in the Alexandria database.

It has space group P3m1 (No. 156), with a = 3.0772 Å, b = 3.0772 Å, c = 7.5590 Å, α = 90.00°, β = 90.00° and γ = 120.00°. The inequivalent atoms are Mg at (0.0000, 0.0000, 0.0000), Ta at (0.6667, 0.3333, 0.3261) and In at (0.3333, 0.6667, 0.6553).

As for the formation energy: 0.7 eV per formula unit.

First-principles (GGA-PBE) data for a geometry-optimized Ce3Se structure, as listed in the Alexandria database.

It has space group Imm2 (No. 44), with a = 3.713 Å, b = 9.566 Å, c = 5.836 Å, α = 90.00°, β = 90.00° and γ = 90.00°. The inequivalent atoms are Ce at (0.000, 0.000, 0.000), Ce at (0.000, 0.204, 0.659) and Se at (0.000, 0.500, 0.899).

The uncorrected formation energy comes out at -0.7096 eV per atom. For the offset from the most stable computed form, the calculation gives 0.000 eV/atom.

First-principles (GGA-PBE) data for a geometry-optimized MnTeBrN2 structure, as listed in the Alexandria database.

It has space group P4/mmm (No. 123), with a = 3.793 Å, b = 3.793 Å, c = 7.556 Å, α = 90.00°, β = 90.00° and γ = 90.00°. The inequivalent atoms are Mn at (0.000, 0.000, 0.000), Te at (0.500, 0.500, 0.000), Br at (0.500, 0.500, 0.500) and N at (0.000, 0.500, 0.500).

The uncorrected formation energy comes out at 2.3924 eV per atom. For the offset from the most stable computed form, the calculation gives 1.539 eV/atom.

First-principles (GGA-PBE) data for a geometry-optimized Al2Si2Pd structure, as listed in the Alexandria database.

It has space group P4/mbm (No. 127), with a = 6.307 Å, b = 6.307 Å, c = 4.006 Å, α = 90.00°, β = 90.00° and γ = 90.00°. The inequivalent atoms are Al at (0.177, 0.323, 0.000), Si at (0.133, 0.633, 0.500) and Pd at (0.000, 0.000, 0.500).

The uncorrected formation energy comes out at -0.0866 eV per atom. For the offset from the most stable computed form, the calculation gives 0.000 eV/atom.

Calculated density / g/cm3: 15.75, 1.09, 5.31, 2.53, 6.32, 7.32, 3.41, 6.96, 8.57, 8.00, 4.44, 4.51
E / eV per cell: -117.669, -6.650, -155.781, -47.298, -876.558, -20.721, -90.615, -17.782, -15.466, -48.249, -18.673, -47.914
V / Å³/cell: 218.40, 174.40, 972.88, 352.15, 4257.24, 97.08, 205.65, 62.30, 61.99, 207.28, 108.68, 159.31